# PBE Ho2Be7Au12, relaxed
data_Ho2Be7Au12
_cell_length_a 9.9104
_cell_length_b 9.9104
_cell_length_c 3.9543
_cell_angle_alpha 90.00
_cell_angle_beta 90.00
_cell_angle_gamma 120.00
_space_group_name_H-M_alt 'P -3'
_space_group_IT_number 147
_space_group_name_Hall '-P 3'
loop_
_atom_site_label
_atom_site_type_symbol
_atom_site_fract_x
_atom_site_fract_y
_atom_site_fract_z
_atom_site_occupancy
Ho1 Ho 0.3333 0.6667 0.2524 1
Be1 Be 0.0000 0.0000 0.0000 1
Be2 Be 0.1127 0.4000 0.7524 1
Au1 Au 0.0810 0.6212 0.7494 1
Au2 Au 0.1198 0.8600 0.2519 1
# N(E_F) = 5.0 states/eV/f.u.
# Crystal system = trigonal
# Formation energy from the elements = -320 meV per atom
# Theoretical density = 13.6 g cm⁻³
# Total moment = 0.00 μB/f.u.
# Raw total energy = -3.8706 eV per atom